# 1
# PBE Na4Pb, optimized geometry
# Excess energy over the best structure of this formula in the dataset ... 0.00 kcal/mol of atoms
data_Na4Pb
_chemical_formula_sum 'Na8 Pb2'
_cell_length_a 10.847
_cell_length_b 5.192
_cell_length_c 7.667
_cell_angle_alpha 90.00
_cell_angle_beta 134.93
_cell_angle_gamma 90.00
_space_group_name_H-M_alt 'C 1 2/m 1'
_space_group_IT_number 12
loop_
_space_group_symop_operation_xyz
'x,y,z'
'-x,-y,-z'
'-x,y,-z'
'x,-y,z'
'x+1/2,y+1/2,z'
'-x+1/2,-y+1/2,-z'
'-x+1/2,y+1/2,-z'
'x+1/2,-y+1/2,z'
loop_
_atom_site_label
_atom_site_fract_x
_atom_site_fract_y
_atom_site_fract_z
Na1 0.113 0.000 0.328
Na2 0.215 0.500 0.102
Pb1 0.000 0.500 0.500


# 2
DFT (PBE) results for a relaxed NaPb8 crystal.

Geometry as CIF:
```
data_NaPb8
_chemical_formula_sum 'Na2 Pb16'
_cell_length_a 10.695
_cell_length_b 10.695
_cell_length_c 4.909
_cell_angle_alpha 90.00
_cell_angle_beta 90.00
_cell_angle_gamma 90.00
_space_group_name_H-M_alt 'I 4/m m m'
_space_group_IT_number 139
_space_group_name_Hall '-I 4 2'
loop_
_atom_site_label
_atom_site_fract_x
_atom_site_fract_y
_atom_site_fract_z
Na1 0.000 0.000 0.000
Pb1 0.000 0.336 0.000
Pb2 0.170 0.170 0.500
```


Let's list DFT formation energy in order: -118; -44 meV per atom.
Let's list E in order: -1.9150; -3.4864 eV/atom.